First-principles (GGA-PBE) data for a relaxed structure of BaNaY2B, as listed in Alexandria.

Values from the calculation:
SG: No. 123
D(E_F): 1.13 states/eV/atom
total magnetic moment: 0.000 μB/atom
electronic total energy: -2.52 eV per atom
E_form: 2046 meV per atom

Geometry as extended XYZ:
```
5
Lattice="5.752 0.000 0.000 0.000 5.752 0.000 0.000 0.000 5.522" Properties=species:S:1:pos:R:3 pbc="T T T"
Ba 0.000 0.000 0.000
Na 0.000 0.000 2.761
Y 0.000 2.876 0.000
Y 2.876 0.000 0.000
B 2.876 2.876 2.761
```

***

First-principles (GGA-PBE) data for a relaxed structure of BaNbB3, as listed in Alexandria.

Values from the calculation:
SG: No. 221
D(E_F): 0.26 states/eV/atom
total magnetic moment: 0.000 μB/atom
electronic total energy: -5.76 eV per atom
E_form: 646 meV per atom

Geometry as extended XYZ:
```
5
Lattice="4.498 0.000 0.000 0.000 4.498 0.000 0.000 0.000 4.498" Properties=species:S:1:pos:R:3 pbc="T T T"
Ba 0.000 0.000 0.000
Nb 2.249 2.249 2.249
B 0.000 2.249 2.249
B 2.249 0.000 2.249
B 2.249 2.249 0.000
```

***

What did the second record say?
First-principles (GGA-PBE) data for a relaxed structure of BaNbB3, as listed in Alexandria.

Values from the calculation:
SG: No. 221
D(E_F): 0.26 states/eV/atom
total magnetic moment: 0.000 μB/atom
electronic total energy: -5.76 eV per atom
E_form: 646 meV per atom

Geometry as extended XYZ:
```
5
Lattice="4.498 0.000 0.000 0.000 4.498 0.000 0.000 0.000 4.498" Properties=species:S:1:pos:R:3 pbc="T T T"
Ba 0.000 0.000 0.000
Nb 2.249 2.249 2.249
B 0.000 2.249 2.249
B 2.249 0.000 2.249
B 2.249 2.249 0.000
```

***

- The lowest D(E_F) belongs to which entry?
  BaNbB3